Entry 1:
Entry from Alexandria via LeMat-Bulk: a geometry-optimized Tb2Pb2O7 structure (PBE).

a = 10.799 Å, b = 10.799 Å, c = 10.799 Å
α = 90.00°, β = 90.00°, γ = 90.00°
Space group Fd-3m (No. 227, origin choice 2)
One atom of each set of equivalent atoms:
Tb 0.000 0.000 0.000 (multiplicity 16)
Pb 0.000 0.000 0.500 (multiplicity 16)
O 0.099 0.375 0.875 (multiplicity 48)
O 0.125 0.125 0.125 (multiplicity 8)

Uncorrected formation energy = -2237.9 kJ/mol of formula units
Energy above the lowest structure with this stoichiometry = 0 meV/atom
Theoretical density = 8.9 g/cm³


Entry 2:
Entry from Alexandria via LeMat-Bulk: a geometry-optimized TbPbO structure (PBE).

a = 3.7384 Å, b = 3.7384 Å, c = 6.1485 Å
α = 90.00°, β = 90.00°, γ = 120.00°
Space group P-6m2 (No. 187)
One atom of each set of equivalent atoms:
Tb 0.0000 0.0000 0.0000 (multiplicity 1)
Pb 0.3333 0.6667 0.5000 (multiplicity 1)
O 0.6667 0.3333 0.0000 (multiplicity 1)

Uncorrected formation energy = -520.0 kJ/mol of formula units
Energy above the lowest structure with this stoichiometry = 0 meV/atom
Theoretical density = 8.5 g/cm³


Entry 3:
Entry from Alexandria via LeMat-Bulk: a geometry-optimized Tb2PbO2 structure (PBE).

a = 3.864 Å, b = 3.864 Å, c = 14.251 Å
α = 90.00°, β = 90.00°, γ = 90.00°
Space group I4/mmm (No. 139)
One atom of each set of equivalent atoms:
Tb 0.000 0.000 0.170 (multiplicity 4)
Pb 0.000 0.000 0.500 (multiplicity 2)
O 0.000 0.500 0.250 (multiplicity 4)

Uncorrected formation energy = -1232.4 kJ/mol of formula units
Theoretical density = 8.7 g/cm³


Entry 4:
Entry from Alexandria via LeMat-Bulk: a geometry-optimized Tb3Pb5O12 structure (PBE).

a = 13.698 Å, b = 13.698 Å, c = 13.698 Å
α = 90.00°, β = 90.00°, γ = 90.00°
Space group Ia-3d (No. 230)
One atom of each set of equivalent atoms:
Tb 0.000 0.250 0.125 (multiplicity 24)
Pb 0.000 0.000 0.000 (multiplicity 16)
Pb 0.000 0.250 0.375 (multiplicity 24)
O 0.015 0.070 0.653 (multiplicity 96)

Uncorrected formation energy = -3321.6 kJ/mol of formula units
Theoretical density = 8.8 g/cm³


Entry 5:
Entry from Alexandria via LeMat-Bulk: a geometry-optimized Tb5Pb4O structure (PBE).

a = 9.421 Å, b = 9.421 Å, c = 6.255 Å
α = 90.00°, β = 90.00°, γ = 90.00°
Space group I4 (No. 79)
One atom of each set of equivalent atoms:
Tb 0.000 0.000 0.000 (multiplicity 2)
Tb 0.110 0.762 0.564 (multiplicity 8)
Pb 0.066 0.673 0.070 (multiplicity 8)
O 0.000 0.000 0.635 (multiplicity 2)

Uncorrected formation energy = -773.9 kJ/mol of formula units
Theoretical density = 9.8 g/cm³


Entry 6:
Entry from Alexandria via LeMat-Bulk: a geometry-optimized TbPbO structure (PBE).

a = 12.292 Å, b = 14.154 Å, c = 6.345 Å
α = 90.00°, β = 90.00°, γ = 90.00°
Space group Fdd2 (No. 43)
One atom of each set of equivalent atoms:
Tb 0.063 0.306 0.000 (multiplicity 16)
Pb 0.060 0.406 0.540 (multiplicity 16)
O 0.070 0.177 0.740 (multiplicity 16)

Uncorrected formation energy = -471.4 kJ/mol of formula units
Energy above the lowest structure with this stoichiometry = 168 meV/atom
Theoretical density = 9.2 g/cm³